No. 1
Below is a geometry-optimized Nd2AgIr2 structure, with properties calculated at the PBE level. Values from VASP.

For the formation energy from the elements, the calculation gives -0.522 eV per atom. The value obtained for the density of states at the Fermi level is 3.30 states/eV/f.u. The value obtained for the final energy is -6.54 eV/atom.

```
&SYSTEM
  ibrav = 0, nat = 5, ntyp = 3
/
ATOMIC_SPECIES
Nd 144.24 Nd.upf
Ag 107.87 Ag.upf
Ir 192.22 Ir.upf
CELL_PARAMETERS angstrom
4.169 0.000 1.776
1.376 4.804 2.552
0.073 -0.119 5.609
ATOMIC_POSITIONS angstrom
Nd 4.064 3.767 4.912
Nd 1.553 0.918 5.025
Ag 2.772 2.402 2.164
Ir 0.316 0.997 2.149
Ir 5.301 3.689 7.789
```


No. 2
Below is a geometry-optimized Nd3AgIr2 structure, with properties calculated at the PBE level. Values from VASP.

For the formation energy from the elements, the calculation gives -0.499 eV per atom. As for the energy above the most stable polymorph in this dataset: 0 meV/atom. The value obtained for the density of states at the Fermi level is 3.91 states/eV/f.u. The value obtained for the final energy is -6.31 eV/atom.

```
&SYSTEM
  ibrav = 0, nat = 6, ntyp = 3
/
ATOMIC_SPECIES
Nd 144.24 Nd.upf
Ag 107.87 Ag.upf
Ir 192.22 Ir.upf
CELL_PARAMETERS angstrom
-0.836 3.314 -1.069
0.381 -1.006 -3.415
-10.827 -2.850 -0.369
ATOMIC_POSITIONS angstrom
Nd 0.000 0.000 0.000
Nd -7.491 -1.972 -0.255
Nd -3.336 -0.878 -0.114
Ag -5.641 -0.271 -2.427
Ir -9.296 -1.233 -2.551
Ir -1.986 0.691 -2.302
```


No. 3
Below is a geometry-optimized Nd8Ag2Ir structure, with properties calculated at the PBE level. Values from VASP.

For the formation energy from the elements, the calculation gives -0.159 eV per atom. As for the energy above the most stable polymorph in this dataset: 43 meV/atom. The value obtained for the density of states at the Fermi level is 12.40 states/eV/f.u. The value obtained for the final energy is -4.95 eV/atom.

```
&SYSTEM
  ibrav = 0, nat = 11, ntyp = 3
/
ATOMIC_SPECIES
Nd 144.24 Nd.upf
Ag 107.87 Ag.upf
Ir 192.22 Ir.upf
CELL_PARAMETERS angstrom
-2.584 -0.287 -5.803
8.217 -3.660 -1.166
-6.732 -2.707 5.444
ATOMIC_POSITIONS angstrom
Nd 0.466 -2.034 -3.394
Nd -3.029 -1.811 -1.849
Nd 0.053 -1.842 0.385
Nd -6.382 -3.183 -1.550
Nd 2.778 -3.768 -5.600
Nd -0.885 -4.885 -1.297
Nd 2.070 -4.835 0.679
Nd -1.395 -4.614 2.211
Ag 2.765 -3.555 -2.070
Ag -3.749 -3.139 0.810
Ir -0.717 -0.109 -1.606
```


No. 4
Below is a geometry-optimized Nd3AgIr2 structure, with properties calculated at the PBE level. Values from VASP.

For the formation energy from the elements, the calculation gives -0.487 eV per atom. As for the energy above the most stable polymorph in this dataset: 12 meV/atom. The value obtained for the density of states at the Fermi level is 3.34 states/eV/f.u. The value obtained for the final energy is -6.30 eV/atom.

```
&SYSTEM
  ibrav = 0, nat = 6, ntyp = 3
/
ATOMIC_SPECIES
Nd 144.24 Nd.upf
Ag 107.87 Ag.upf
Ir 192.22 Ir.upf
CELL_PARAMETERS angstrom
-2.213 -2.327 1.728
-0.939 -2.404 -4.440
6.289 -3.397 3.479
ATOMIC_POSITIONS angstrom
Nd -1.576 -2.366 -1.356
Nd 2.193 -5.344 -0.540
Nd 0.944 -2.784 1.308
Ag 0.000 0.000 0.000
Ir 3.925 -3.102 0.849
Ir -0.788 -5.026 -0.082
```


No. 5
Below is a geometry-optimized Nd12Ag6Ir structure, with properties calculated at the PBE level. Values from VASP.

For the formation energy from the elements, the calculation gives -0.125 eV per atom. The value obtained for the density of states at the Fermi level is 19.31 states/eV/f.u. The value obtained for the final energy is -4.50 eV/atom.

```
&SYSTEM
  ibrav = 0, nat = 19, ntyp = 3
/
ATOMIC_SPECIES
Nd 144.24 Nd.upf
Ag 107.87 Ag.upf
Ir 192.22 Ir.upf
CELL_PARAMETERS angstrom
8.323 0.393 0.471
-0.873 8.287 0.471
-0.873 -1.017 8.238
ATOMIC_POSITIONS angstrom
Nd 5.805 4.500 4.418
Nd 2.622 6.275 5.217
Nd 3.568 3.200 7.106
Nd 0.772 3.163 4.761
Nd 3.955 1.388 3.963
Nd 3.009 4.463 2.073
Nd 7.698 0.860 3.149
Nd 6.894 5.947 1.002
Nd 4.833 -0.393 7.771
Nd -1.121 6.803 6.030
Nd -0.317 1.716 8.177
Nd 1.744 8.055 1.409
Ag 4.544 7.138 2.880
Ag 5.726 2.935 1.642
Ag 0.210 5.826 3.181
Ag 2.033 0.525 6.300
Ag 0.851 4.728 7.538
Ag 6.367 1.837 5.999
Ir 0.000 0.000 0.000
```


No. 6
Below is a geometry-optimized Nd8AgIr2 structure, with properties calculated at the PBE level. Values from VASP.

For the formation energy from the elements, the calculation gives -0.252 eV per atom. The value obtained for the density of states at the Fermi level is 13.67 states/eV/f.u. The value obtained for the final energy is -5.59 eV/atom.

```
&SYSTEM
  ibrav = 0, nat = 11, ntyp = 3
/
ATOMIC_SPECIES
Nd 144.24 Nd.upf
Ag 107.87 Ag.upf
Ir 192.22 Ir.upf
CELL_PARAMETERS angstrom
-5.505 1.289 -1.568
-1.450 -6.883 3.946
1.429 6.372 4.733
ATOMIC_POSITIONS angstrom
Nd -5.472 -0.882 5.320
Nd -4.746 2.457 5.519
Nd -1.714 0.085 4.842
Nd -3.514 -3.069 3.350
Nd -2.012 3.847 3.761
Nd -3.812 0.693 2.269
Nd -0.780 -1.680 1.592
Nd -0.054 1.660 1.790
Ag -2.753 0.644 -0.784
Ir 0.577 2.450 4.500
Ir -0.598 -2.961 4.179
```


No. 7
Below is a geometry-optimized Nd4AgIr structure, with properties calculated at the PBE level. Values from VASP.

For the formation energy from the elements, the calculation gives -0.394 eV per atom. As for the energy above the most stable polymorph in this dataset: 0 meV/atom. The value obtained for the density of states at the Fermi level is 5.53 states/eV/f.u. The value obtained for the final energy is -5.52 eV/atom.

```
&SYSTEM
  ibrav = 0, nat = 24, ntyp = 3
/
ATOMIC_SPECIES
Nd 144.24 Nd.upf
Ag 107.87 Ag.upf
Ir 192.22 Ir.upf
CELL_PARAMETERS angstrom
-9.300 -2.332 -2.406
-1.819 -5.288 -8.151
-3.107 -9.352 0.768
ATOMIC_POSITIONS angstrom
Nd -5.683 -6.781 -3.911
Nd -9.421 -7.718 -4.878
Nd -6.414 -8.906 -7.186
Nd -6.932 -10.539 -3.602
Nd -9.143 -13.059 -5.185
Nd -12.195 -12.400 -9.498
Nd -8.652 -11.511 -8.582
Nd -12.685 -13.948 -6.101
Nd -11.502 -10.385 -6.393
Nd -9.836 -15.074 -8.289
Nd -4.615 -9.026 -1.364
Nd -9.610 -7.946 -8.425
Nd -3.811 -6.492 -6.925
Nd -10.414 -10.480 -2.864
Nd -8.476 -4.649 -3.342
Nd -5.749 -12.324 -6.446
Ag -2.405 -2.869 -1.655
Ag -5.416 -3.624 -2.434
Ag -2.994 -4.582 -4.294
Ag -3.411 -5.898 -1.406
Ir -8.649 -10.320 -5.952
Ir -4.631 -9.312 -4.912
Ir -7.863 -8.035 -2.430
Ir -7.307 -6.278 -6.283
```


No. 8
Below is a geometry-optimized NdAgIr4 structure, with properties calculated at the PBE level. Values from VASP.

For the formation energy from the elements, the calculation gives -0.202 eV per atom. The value obtained for the density of states at the Fermi level is 7.12 states/eV/f.u. The value obtained for the final energy is -7.38 eV/atom.

```
&SYSTEM
  ibrav = 0, nat = 6, ntyp = 3
/
ATOMIC_SPECIES
Ir 192.22 Ir.upf
Nd 144.24 Nd.upf
Ag 107.87 Ag.upf
CELL_PARAMETERS angstrom
5.341 0.000 0.000
2.671 4.625 0.000
2.671 1.542 4.361
ATOMIC_POSITIONS angstrom
Ir 5.341 3.084 0.541
Ir 5.341 1.538 2.727
Ir 6.680 3.857 2.727
Ir 4.002 3.857 2.727
Nd 2.671 1.542 1.090
Ag 0.000 0.000 0.000
```


No. 9
Below is a geometry-optimized Nd5Ag4Ir structure, with properties calculated at the PBE level. Values from VASP.

For the formation energy from the elements, the calculation gives -0.329 eV per atom. The value obtained for the density of states at the Fermi level is 8.32 states/eV/f.u. The value obtained for the final energy is -4.74 eV/atom.

```
&SYSTEM
  ibrav = 0, nat = 10, ntyp = 3
/
ATOMIC_SPECIES
Nd 144.24 Nd.upf
Ag 107.87 Ag.upf
Ir 192.22 Ir.upf
CELL_PARAMETERS angstrom
-0.937 2.140 -2.836
0.397 -2.851 -2.283
-18.246 -4.596 2.563
ATOMIC_POSITIONS angstrom
Nd -1.868 -0.758 -2.335
Nd -5.652 -1.711 -1.803
Nd -9.393 -2.654 -1.278
Nd -13.134 -3.596 -0.752
Nd -16.918 -4.549 -0.221
Ag -3.563 -0.898 0.501
Ag -7.256 -1.828 1.019
Ag -10.990 -2.768 1.544
Ag -14.683 -3.698 2.063
Ir 0.000 0.000 0.000
```


No. 10
Below is a geometry-optimized Nd4AgIr2 structure, with properties calculated at the PBE level. Values from VASP.

For the formation energy from the elements, the calculation gives -0.477 eV per atom. The value obtained for the density of states at the Fermi level is 5.11 states/eV/f.u. The value obtained for the final energy is -6.14 eV/atom.

```
&SYSTEM
  ibrav = 0, nat = 14, ntyp = 3
/
ATOMIC_SPECIES
Nd 144.24 Nd.upf
Ag 107.87 Ag.upf
Ir 192.22 Ir.upf
CELL_PARAMETERS angstrom
-5.556 -0.284 -5.509
-2.392 -3.732 6.452
1.473 7.486 1.768
ATOMIC_POSITIONS angstrom
Nd -5.523 1.696 -3.209
Nd -3.020 -0.157 1.555
Nd -5.311 2.098 0.273
Nd -3.442 4.849 -1.942
Nd -1.837 1.742 -1.654
Nd -0.679 5.027 0.824
Nd -3.212 3.722 3.630
Nd -6.042 -1.651 -0.591
Ag -2.444 0.876 4.343
Ag -7.942 -4.015 0.946
Ir -2.730 3.097 0.795
Ir -5.732 -0.630 2.149
Ir -3.882 -0.195 -1.662
Ir -0.606 4.667 4.133
```